Entry 1:
YCo4Mo after structural relaxation, computed with PBE-GGA.

abc: 4.8574 4.8574 4.8574
angles: 60.00 60.00 60.00
Fractional positions:
Y 0.0000 0.0000 0.0000
Co 0.3746 0.3746 0.3746
Co 0.3746 0.3746 0.8762
Co 0.3746 0.8762 0.3746
Co 0.8762 0.3746 0.3746
Mo 0.7500 0.7500 0.7500

The value obtained for the magnetization is 0.6 μB/cell. The value obtained for the calculated formation energy is 0.54 eV per formula unit.

Entry 2:
YCoMo3 after structural relaxation, computed with PBE-GGA.

abc: 4.5812 4.5812 4.5812
angles: 90.00 90.00 90.00
Fractional positions:
Y 0.0000 0.0000 0.0000
Co 0.5000 0.5000 0.5000
Mo 0.0000 0.5000 0.5000
Mo 0.5000 0.0000 0.5000
Mo 0.5000 0.5000 0.0000

The excess energy over the best structure of this formula in the dataset is 0 meV/atom. The value obtained for the magnetization is 0.0 μB/cell. The value obtained for the calculated formation energy is 4.26 eV per formula unit.

calculated formation energy of number 2 (YCoMo3)?
4.26 eV per formula unit

Which of these has the highest calculated formation energy?
YCoMo3

What is the magnetization in the second record?
0.0 μB/cell

What is the formula in the second record?
YCoMo3